Here is a geometry-optimized K2SrTeRu structure from the Alexandria database. Energies are from PBE.

a = 7.4450 Å, b = 5.9066 Å, c = 7.4450 Å
α = 90.00°, β = 90.00°, γ = 90.00°
With the nearest neighbours (Å) after each atom.
Positions (direct):
Sr (0.0000, 0.0000, 0.0000)  2 Te 2.95
K (0.5000, 0.0000, 0.0000)  2 Sr 3.72
K (0.0000, 0.0000, 0.5000)  2 Sr 3.72
Te (0.0000, 0.5000, 0.0000)  2 Sr 2.95
Ru (0.5000, 0.5000, 0.5000)  8 K 4.75, 4 Te 5.26

- total moment (μB/f.u.) = 3.4
- uncorrected formation energy (eV per atom) = 1.00
- space group = No. 123